1:
Density functional theory data (GGA-PBE) for an optimized crystal structure of RbRh3Au.

Cell lengths 4.8014, 4.8014, 4.8014 Å; angles 90.00, 90.00, 90.00 degrees
Closest atoms and distances in Å follow each position.
Sites, in units of the cell vectors:
1 Rb 0.0000 0.0000 0.0000  6 Rh 2.40
2 Rh 0.0000 0.0000 0.5000  2 Rb 2.40
3 Rh 0.0000 0.5000 0.0000  2 Rb 2.40
4 Rh 0.5000 0.0000 0.0000  2 Rb 2.40
5 Au 0.5000 0.5000 0.5000  12 Rh 3.40

Summary:
DOS at the Fermi energy   6.05 states/eV per cell
Symmetry   Pm-3m

2:
Density functional theory data (GGA-PBE) for an optimized crystal structure of RbRh3Au.

Cell lengths 5.0403, 5.0403, 5.0403 Å; angles 90.00, 90.00, 90.00 degrees
Closest atoms and distances in Å follow each position.
Sites, in units of the cell vectors:
1 Rb 0.0000 0.0000 0.0000  12 Rh 3.56
2 Rh 0.0000 0.5000 0.5000  2 Au 2.52
3 Rh 0.5000 0.0000 0.5000  2 Au 2.52
4 Rh 0.5000 0.5000 0.0000  2 Au 2.52
5 Au 0.5000 0.5000 0.5000  6 Rh 2.52

Summary:
DOS at the Fermi energy   18.43 states/eV per cell
Symmetry   Pm-3m

Stability verdict: 2, ahead by 1004 meV per atom

1:
Density functional theory data (GGA-PBE) for an optimized crystal structure of RbRuAu2.

Cell lengths 5.0334, 5.0334, 5.0334 Å; angles 60.00, 60.00, 60.00 degrees
Closest atoms and distances in Å follow each position.
Sites, in units of the cell vectors:
1 Rb 0.0000 0.0000 0.0000  8 Au 3.08
2 Ru 0.5000 0.5000 0.5000  8 Au 3.08
3 Au 0.2500 0.2500 0.2500  4 Ru 3.08, 4 Rb 3.08
4 Au 0.7500 0.7500 0.7500  4 Ru 3.08, 4 Rb 3.08

Summary:
DOS at the Fermi energy   8.62 states/eV per cell
Symmetry   Fm-3m

2:
Density functional theory data (GGA-PBE) for an optimized crystal structure of RbRuAu2.

Cell lengths 9.6889, 9.6889, 9.6889 Å; angles 147.18, 147.18, 47.10 degrees
Closest atoms and distances in Å follow each position.
Sites, in units of the cell vectors:
1 Rb 0.3750 0.6250 0.7500  8 Au 3.78, 4 Ru 3.87
2 Rb 0.6250 0.3750 0.2500  8 Au 3.78, 4 Ru 3.87
3 Ru 0.1250 0.8750 0.2500  4 Au 2.61
4 Ru 0.8750 0.1250 0.7500  4 Au 2.61
5 Au 0.0000 0.0000 0.0000  2 Ru 2.61, 2 Au 2.74
6 Au 0.0000 0.0000 0.5000  2 Ru 2.61, 2 Au 2.74
7 Au 0.0000 0.5000 0.0000  2 Ru 2.61, 2 Au 2.74
8 Au 0.5000 0.0000 0.5000  2 Ru 2.61, 2 Au 2.74

Summary:
DOS at the Fermi energy   10.06 states/eV per cell
Symmetry   I4_1/amd

Stability verdict: 2, ahead by 331 meV per atom

1:
Density functional theory data (GGA-PBE) for an optimized crystal structure of RbRuAu3.

Cell lengths 5.7139, 5.7139, 5.7139 Å; angles 90.00, 90.00, 90.00 degrees
Closest atoms and distances in Å follow each position.
Sites, in units of the cell vectors:
1 Rb 0.0000 0.0000 0.0000  6 Au 2.86
2 Ru 0.5000 0.5000 0.5000  12 Au 4.04
3 Au 0.0000 0.0000 0.5000  2 Rb 2.86
4 Au 0.0000 0.5000 0.0000  2 Rb 2.86
5 Au 0.5000 0.0000 0.0000  2 Rb 2.86

Summary:
DOS at the Fermi energy   33.67 states/eV per cell
Symmetry   Pm-3m

2:
Density functional theory data (GGA-PBE) for an optimized crystal structure of RbRuAu3.

Cell lengths 5.1887, 5.1887, 5.1887 Å; angles 90.00, 90.00, 90.00 degrees
Closest atoms and distances in Å follow each position.
Sites, in units of the cell vectors:
1 Rb 0.0000 0.0000 0.0000  12 Au 3.67
2 Ru 0.5000 0.5000 0.5000  6 Au 2.59
3 Au 0.0000 0.5000 0.5000  2 Ru 2.59
4 Au 0.5000 0.0000 0.5000  2 Ru 2.59
5 Au 0.5000 0.5000 0.0000  2 Ru 2.59

Summary:
DOS at the Fermi energy   2.87 states/eV per cell
Symmetry   Pm-3m

Stability verdict: 2, ahead by 1642 meV per atom